No. 1
A plane-wave DFT calculation with PBE was carried out for an optimized crystal structure of Li6GaPd2.

Cell and atoms, written as extended XYZ:
```
9
Lattice="6.345 -1.931 0.000 6.345 1.931 0.000 -2.130 0.000 5.617" Properties=species:S:1:pos:R:3 pbc="T T T"
Li 0.926 0.000 0.831
Li 0.967 0.000 4.714
Li 3.299 0.000 2.863
Li 7.261 0.000 2.754
Li 9.593 0.000 0.903
Li 9.634 0.000 4.786
Ga -1.065 0.000 2.808
Pd 5.250 0.000 1.039
Pd 5.310 0.000 4.578
```

Summary:
Distance to the lowest polymorph of the same formula (eV/f.u.): 0.000
Spin magnetization (μB/cell): 0.000
N(E_F) (states/eV per cell): 2.25
Space group: C2/m
Formation enthalpy at 0 K (eV per atom): -0.35

No. 2
A plane-wave DFT calculation with PBE was carried out for an optimized crystal structure of LiGa3Pd.

Cell and atoms, written as extended XYZ:
```
10
Lattice="4.463 0.000 0.000 0.000 5.456 0.000 -2.216 0.000 6.536" Properties=species:S:1:pos:R:3 pbc="T T T"
Li 0.005 0.000 2.469
Li 2.242 2.728 4.067
Ga -0.010 1.382 0.247
Ga 0.006 2.745 2.578
Ga 0.009 1.448 5.326
Ga 2.238 4.176 1.210
Ga 2.242 0.017 3.958
Ga 2.257 4.110 6.289
Pd 0.018 4.155 4.772
Pd 2.229 1.427 1.764
```

Summary:
Distance to the lowest polymorph of the same formula (eV/f.u.): 0.000
Spin magnetization (μB/cell): 0.000
N(E_F) (states/eV per cell): 2.72
Space group: P2_1
Formation enthalpy at 0 K (eV per atom): -0.38

No. 3
A plane-wave DFT calculation with PBE was carried out for an optimized crystal structure of Li4GaPd7.

Cell and atoms, written as extended XYZ:
```
12
Lattice="4.862 -2.364 0.000 4.862 2.364 0.000 -4.567 0.000 8.447" Properties=species:S:1:pos:R:3 pbc="T T T"
Li -0.260 0.000 2.273
Li -1.566 0.000 6.819
Li 6.723 0.000 1.627
Li 5.418 0.000 6.173
Ga 2.579 0.000 4.223
Pd -2.283 0.000 4.223
Pd 1.350 0.000 0.289
Pd 0.301 0.000 4.901
Pd 3.990 0.000 1.028
Pd 1.168 0.000 7.419
Pd 4.856 0.000 3.546
Pd 3.807 0.000 8.157
```

Summary:
Spin magnetization (μB/cell): 0.000
N(E_F) (states/eV per cell): 6.08
Space group: C2/m
Formation enthalpy at 0 K (eV per atom): -0.23

No. 4
A plane-wave DFT calculation with PBE was carried out for an optimized crystal structure of Li2GaPd4.

Cell and atoms, written as extended XYZ:
```
7
Lattice="2.251 -4.915 0.000 2.251 4.915 0.000 0.000 0.000 4.480" Properties=species:S:1:pos:R:3 pbc="T T T"
Li 2.251 3.904 0.000
Li 2.251 -3.904 0.000
Ga 2.251 0.000 2.240
Pd 2.251 3.341 2.240
Pd 2.251 1.421 0.000
Pd 2.251 -1.421 0.000
Pd 2.251 -3.341 2.240
```

Summary:
Distance to the lowest polymorph of the same formula (eV/f.u.): 1.279
Spin magnetization (μB/cell): 0.000
N(E_F) (states/eV per cell): 2.67
Space group: Cmmm
Formation enthalpy at 0 K (eV per atom): -0.26

No. 5
A plane-wave DFT calculation with PBE was carried out for an optimized crystal structure of Li3Ga4Pd.

Cell and atoms, written as extended XYZ:
```
8
Lattice="3.243 0.000 0.000 0.000 3.243 0.000 0.000 0.000 11.539" Properties=species:S:1:pos:R:3 pbc="T T T"
Li 0.000 0.000 0.000
Li 0.000 0.000 2.880
Li 0.000 0.000 8.659
Ga 1.622 1.622 1.437
Ga 1.622 1.622 4.341
Ga 1.622 1.622 7.198
Ga 1.622 1.622 10.102
Pd 0.000 0.000 5.770
```

Summary:
Distance to the lowest polymorph of the same formula (eV/f.u.): 0.000
Spin magnetization (μB/cell): 0.000
N(E_F) (states/eV per cell): 2.31
Space group: P4/mmm
Formation enthalpy at 0 K (eV per atom): -0.37

No. 6
A plane-wave DFT calculation with PBE was carried out for an optimized crystal structure of Li12Ga3Pd.

Cell and atoms, written as extended XYZ:
```
16
Lattice="3.928 0.000 0.000 0.000 3.928 0.000 0.000 0.000 16.732" Properties=species:S:1:pos:R:3 pbc="T T T"
Li 0.000 0.000 0.000
Li 0.000 0.000 4.095
Li 0.000 0.000 8.366
Li 0.000 0.000 12.637
Li 0.000 1.964 1.939
Li 0.000 1.964 6.216
Li 0.000 1.964 10.516
Li 0.000 1.964 14.793
Li 1.964 0.000 1.939
Li 1.964 0.000 6.216
Li 1.964 0.000 10.516
Li 1.964 0.000 14.793
Ga 1.964 1.964 4.084
Ga 1.964 1.964 8.366
Ga 1.964 1.964 12.648
Pd 1.964 1.964 0.000
```

Summary:
Spin magnetization (μB/cell): 0.000
N(E_F) (states/eV per cell): 6.88
Space group: P4/mmm
Formation enthalpy at 0 K (eV per atom): -0.19

Question: N(E_F) of number 6 (Li12Ga3Pd)?
Answer: 6.88 states/eV per cell